No. 1
Sc3CdTe: optimized geometry, PBE-GGA.

Polymorph energy (0 for the lowest one) (meV/atom): 0
Symmetry: Pm-3m
Formation energy without anion corrections (eV per atom): 0.009
N(E_F) (states/eV per cell): 3.88

POSCAR file:
```
Sc3CdTe
1.0
5.288 0.000 0.000
0.000 5.288 0.000
0.000 0.000 5.288
Sc Cd Te
3 1 1
Cartesian
0.000 0.000 2.644
0.000 2.644 0.000
2.644 0.000 0.000
2.644 2.644 2.644
0.000 0.000 0.000
```

***

No. 2
HoZrTc4: optimized geometry, PBE-GGA.

Symmetry: F-43m
ΔE_f (eV/atom): -0.21
N(E_F) (states/eV per cell): 10.62

POSCAR file:
```
HoZrTc4
1.0
0.000 3.771 3.771
3.771 0.000 3.771
3.771 3.771 0.000
Ho Zr Tc
1 1 4
Cartesian
0.000 0.000 0.000
5.657 5.657 5.657
2.830 2.830 2.830
4.712 4.712 2.830
4.712 2.830 4.712
2.830 4.712 4.712
```

***

No. 3
Y2MgB2: optimized geometry, PBE-GGA.

Polymorph energy (0 for the lowest one) (meV/atom): 0
Symmetry: P4/mbm
ΔE_f (eV/atom): -0.24
N(E_F) (states/eV per cell): 6.56

POSCAR file:
```
Y2MgB2
1.0
6.824 0.000 0.000
0.000 6.824 0.000
0.000 0.000 3.819
Y Mg B
4 2 4
Cartesian
1.235 2.177 0.000
2.177 5.589 0.000
4.648 1.235 0.000
5.589 4.648 0.000
0.000 0.000 1.909
3.412 3.412 1.909
0.588 4.000 1.909
2.825 0.588 1.909
4.000 6.237 1.909
6.237 2.825 1.909
```

***

No. 4
Tb2Pr3SmSe6: optimized geometry, PBE-GGA.

Symmetry: C2/m
Formation energy without anion corrections (eV per atom): -1.821
N(E_F) (states/eV per cell): 5.80

POSCAR file:
```
Tb2Pr3SmSe6
1.0
3.601 -6.271 0.000
3.601 6.271 0.000
-2.415 0.000 6.927
Tb Pr Sm Se
2 3 1 6
Cartesian
3.601 4.184 0.000
3.601 -4.184 0.000
-1.207 0.000 3.464
2.394 2.052 3.464
2.394 -2.052 3.464
3.601 0.000 0.000
-0.027 2.121 5.280
1.163 0.000 1.631
-0.027 -2.121 5.280
4.814 2.121 1.647
3.625 0.000 5.297
4.814 -2.121 1.647
```